This record from Alexandria via LeMat-Bulk describes an optimized crystal structure of CaVGeO5. The functional is PBE+U.

The space group is C2/c (No. 15) and the conventional cell measures 6.7604, 8.9591 and 7.1357 Å, with angles of 90.00, 113.77 and 90.00 degrees. The distinct sites, in fractional coordinates, are Ca at (0.0000, 0.1727, 0.2500), V at (0.0000, 0.5000, 0.0000), Ge at (0.0000, 0.1823, 0.7500), O at (0.0000, 0.4394, 0.2500), O at (0.1066, 0.2918, 0.6050) and O at (0.1893, 0.0552, 0.9175).

The total energy comes out at -226.92 eV for the cell shown. The value obtained for the total magnetization is 4.00 μB/cell.